This record from the Alexandria database describes crystalline LiCaZrFe2 at its relaxed geometry. The functional is GGA-PBEsol.

a = 4.4328 Å, b = 4.4328 Å, c = 4.5911 Å
α = 90.00°, β = 90.00°, γ = 90.00°
Last column: nearest neighbours and their distance in Å.
Positions (direct):
1 Li 0.0000 0.0000 0.0000  4 Fe 2.22, 2 Zr 2.30
2 Ca 0.5000 0.5000 0.5000  4 Zr 3.13, 8 Fe 3.19
3 Zr 0.0000 0.0000 0.5000  2 Li 2.30
4 Fe 0.0000 0.5000 0.0000  2 Li 2.22
5 Fe 0.5000 0.0000 0.0000  2 Li 2.22

Summary:
Formation enthalpy at 0 K in meV per atom: 1021